{"formula": "Rb2Hg2Pb3", "functional": "PBE", "state": "relaxed", "formation_energy_mev_per_atom": -130.7, "crystal_system": "monoclinic", "n_ef_per_ev_fu": 4.03, "lattice_angstrom": [[4.8350, 0.0000, 0.0000], [-2.4175, 6.6355, -0.5462], [0.0000, -4.1517, 8.5378]], "species": ["Pb", "Pb", "Pb", "Hg", "Hg", "Rb", "Rb"], "fractional_positions": [[0.3481, 0.6962, 0.5571], [0.6519, 0.3038, 0.4429], [0.5000, 0.0000, 0.0000], [0.8419, 0.6839, 0.8073], [0.1581, 0.3161, 0.1927], [0.8809, 0.7618, 0.2347], [0.1191, 0.2382, 0.7653]]}


{"formula": "TaInTe2", "functional": "PBE", "state": "relaxed", "crystal_system": "orthorhombic", "n_ef_per_ev_fu": 2.57, "e_form_raw_ev_per_atom": 0.0515, "lattice_angstrom": [[-7.5568, 0.8197, -0.1502], [-5.3012, -1.6824, -5.1834], [5.6875, -1.6034, 4.7835]], "species": ["In", "Ta", "Te", "Te"], "fractional_positions": [[0.7500, 0.2500, 0.5000], [0.2500, 0.7500, 0.5000], [0.4124, 0.4124, 0.0000], [0.0876, 0.0876, 0.0000]]}


{"formula": "RbLi2AgPt", "functional": "PBE", "state": "relaxed", "formation_energy_mev_per_atom": -92.9, "crystal_system": "tetragonal", "n_ef_per_ev_fu": 1.50, "lattice_angstrom": [[4.9412, 0.0000, 0.0000], [0.0000, 4.9412, 0.0000], [0.0000, 0.0000, 5.3562]], "species": ["Rb", "Li", "Li", "Pt", "Ag"], "fractional_positions": [[0.5000, 0.5000, 0.5000], [0.5000, 0.0000, 0.0000], [0.0000, 0.5000, 0.0000], [0.0000, 0.0000, 0.0000], [0.0000, 0.0000, 0.5000]]}


{"formula": "Nb3B4Mo", "functional": "PBE", "state": "relaxed", "formation_energy_mev_per_atom": -432.2, "crystal_system": "orthorhombic", "n_ef_per_ev_fu": 3.54, "lattice_angstrom": [[3.2439, 0.0000, 0.0000], [0.0000, 4.8048, -0.5540], [-1.6219, -1.6899, 6.4466]], "species": ["Nb", "Nb", "Nb", "B", "B", "B", "B", "Mo"], "fractional_positions": [[0.0000, 0.5000, 0.0000], [0.8054, 0.8054, 0.6108], [0.1946, 0.1946, 0.3892], [0.6312, 0.8084, 0.2623], [0.6310, 0.4541, 0.2620], [0.3688, 0.1916, 0.7377], [0.3690, 0.5459, 0.7380], [0.5000, 0.0000, 0.0000]]}